<1>
Density functional theory data (GGA-PBE) for a relaxed structure of Ca5In2.

Lattice parameters (Å, degrees): 9.396 9.396 9.592 99.83 99.83 34.43
Fractional positions:
Ca: 0.048 0.550 0.683
Ca: 0.164 0.662 0.055
Ca: 0.248 0.752 0.750
Ca: 0.338 0.836 0.445
Ca: 0.450 0.952 0.817
Ca: 0.550 0.048 0.183
Ca: 0.662 0.164 0.555
Ca: 0.752 0.248 0.250
Ca: 0.836 0.338 0.945
Ca: 0.952 0.450 0.317
In: 0.138 0.639 0.380
In: 0.361 0.862 0.120
In: 0.639 0.138 0.880
In: 0.862 0.361 0.620

---

<2>
Density functional theory data (GGA-PBE) for a relaxed structure of Ca5In2.

Lattice parameters (Å, degrees): 9.704 9.704 9.704 131.12 67.59 136.34
Fractional positions:
Ca: 0.017 0.250 0.767
Ca: 0.083 0.651 0.734
Ca: 0.250 0.250 0.000
Ca: 0.417 0.151 0.568
Ca: 0.483 0.250 0.233
Ca: 0.517 0.750 0.767
Ca: 0.583 0.849 0.432
Ca: 0.750 0.750 0.000
Ca: 0.917 0.349 0.266
Ca: 0.983 0.750 0.233
In: 0.123 0.256 0.379
In: 0.377 0.756 0.133
In: 0.623 0.244 0.867
In: 0.877 0.744 0.621

---

If we sort the structures by their calculated energies, the order from most to least stable is <2>, <1>.

---

<1>
Density functional theory data (GGA-PBE) for a relaxed structure of Ca3InIr.

Lattice parameters (Å, degrees): 5.473 5.473 5.473 90.00 90.00 90.00
Fractional positions:
Ca: 0.000 0.000 0.500
Ca: 0.000 0.500 0.000
Ca: 0.500 0.000 0.000
In: 0.500 0.500 0.500
Ir: 0.000 0.000 0.000

---

<2>
Density functional theory data (GGA-PBE) for a relaxed structure of Ca3InIr.

Lattice parameters (Å, degrees): 9.739 9.002 5.951 78.36 64.87 36.76
Fractional positions:
Ca: 0.192 0.583 0.417
Ca: 0.203 0.203 0.797
Ca: 0.417 0.808 0.192
Ca: 0.583 0.192 0.808
Ca: 0.797 0.797 0.203
Ca: 0.808 0.417 0.583
In: 0.214 0.786 0.786
In: 0.786 0.214 0.214
Ir: 0.250 0.250 0.250
Ir: 0.750 0.750 0.750

---

If we sort the structures by their calculated energies, the order from most to least stable is <2>, <1>.

---

<1>
Density functional theory data (GGA-PBE) for a relaxed structure of CaLa3In2.

Lattice parameters (Å, degrees): 9.263 9.263 8.478 95.76 95.76 34.52
Fractional positions:
Ca: 0.156 0.156 0.280
Ca: 0.844 0.844 0.720
La: 0.060 0.060 0.837
La: 0.320 0.320 0.010
La: 0.375 0.375 0.452
La: 0.625 0.625 0.548
La: 0.680 0.680 0.990
La: 0.940 0.940 0.163
In: 0.220 0.220 0.673
In: 0.468 0.468 0.819
In: 0.532 0.532 0.181
In: 0.780 0.780 0.327

---

<2>
Density functional theory data (GGA-PBE) for a relaxed structure of CaLa3In2.

Lattice parameters (Å, degrees): 5.632 9.809 7.076 90.00 90.00 90.00
Fractional positions:
Ca: 0.000 0.002 0.000
Ca: 0.000 0.998 0.500
La: 0.000 0.334 0.747
La: 0.000 0.666 0.247
La: 0.500 0.165 0.252
La: 0.500 0.497 0.999
La: 0.500 0.503 0.499
La: 0.500 0.835 0.752
In: 0.000 0.332 0.248
In: 0.000 0.668 0.748
In: 0.500 0.165 0.751
In: 0.500 0.835 0.251

---

If we sort the structures by their calculated energies, the order from most to least stable is <2>, <1>.

---

<1>
Density functional theory data (GGA-PBE) for a relaxed structure of Ca2La2In.

Lattice parameters (Å, degrees): 8.150 8.150 5.495 90.00 90.00 90.00
Fractional positions:
Ca: 0.148 0.352 0.000
Ca: 0.352 0.852 0.000
Ca: 0.648 0.148 0.000
Ca: 0.852 0.648 0.000
La: 0.161 0.661 0.500
La: 0.339 0.161 0.500
La: 0.661 0.839 0.500
La: 0.839 0.339 0.500
In: 0.000 0.000 0.000
In: 0.500 0.500 0.000

---

<2>
Density functional theory data (GGA-PBE) for a relaxed structure of Ca2La2In.

Lattice parameters (Å, degrees): 8.220 8.220 5.599 90.00 90.00 90.00
Fractional positions:
Ca: 0.172 0.328 0.000
Ca: 0.328 0.828 0.000
Ca: 0.672 0.172 0.000
Ca: 0.828 0.672 0.000
La: 0.127 0.627 0.500
La: 0.373 0.127 0.500
La: 0.627 0.873 0.500
La: 0.873 0.373 0.500
In: 0.000 0.000 0.500
In: 0.500 0.500 0.500

---

If we sort the structures by their calculated energies, the order from most to least stable is <1>, <2>.

---

<1>
Density functional theory data (GGA-PBE) for a relaxed structure of CaLa2In2.

Lattice parameters (Å, degrees): 8.706 8.706 4.438 90.00 90.00 90.00
Fractional positions:
Ca: 0.000 0.000 0.000
Ca: 0.500 0.500 0.000
La: 0.173 0.327 0.500
La: 0.327 0.827 0.500
La: 0.673 0.173 0.500
La: 0.827 0.673 0.500
In: 0.124 0.624 0.000
In: 0.376 0.124 0.000
In: 0.624 0.876 0.000
In: 0.876 0.376 0.000

---

<2>
Density functional theory data (GGA-PBE) for a relaxed structure of CaLa2In2.

Lattice parameters (Å, degrees): 8.071 8.071 8.071 145.05 145.05 50.25
Fractional positions:
Ca: 0.000 0.000 0.000
La: 0.250 0.750 0.500
La: 0.750 0.250 0.500
In: 0.405 0.405 0.000
In: 0.595 0.595 0.000

---

<3>
Density functional theory data (GGA-PBE) for a relaxed structure of CaLa2In2.

Lattice parameters (Å, degrees): 9.466 9.466 3.653 90.00 90.00 90.00
Fractional positions:
Ca: 0.000 0.000 0.000
Ca: 0.500 0.500 0.000
La: 0.118 0.382 0.000
La: 0.382 0.882 0.000
La: 0.618 0.118 0.000
La: 0.882 0.618 0.000
In: 0.179 0.679 0.500
In: 0.321 0.179 0.500
In: 0.679 0.821 0.500
In: 0.821 0.321 0.500

---

If we sort the structures by their calculated energies, the order from most to least stable is <1>, <3>, <2>.

---

<1>
Density functional theory data (GGA-PBE) for a relaxed structure of Ca2LaIn2.

Lattice parameters (Å, degrees): 8.922 8.922 4.057 90.00 90.00 90.00
Fractional positions:
Ca: 0.171 0.329 0.000
Ca: 0.329 0.829 0.000
Ca: 0.671 0.171 0.000
Ca: 0.829 0.671 0.000
La: 0.000 0.000 0.500
La: 0.500 0.500 0.500
In: 0.127 0.627 0.500
In: 0.373 0.127 0.500
In: 0.627 0.873 0.500
In: 0.873 0.373 0.500

---

<2>
Density functional theory data (GGA-PBE) for a relaxed structure of Ca2LaIn2.

Lattice parameters (Å, degrees): 7.876 7.876 7.876 144.25 144.25 51.45
Fractional positions:
Ca: 0.250 0.750 0.500
Ca: 0.750 0.250 0.500
La: 0.000 0.000 0.000
In: 0.402 0.402 0.000
In: 0.598 0.598 0.000

---

If we sort the structures by their calculated energies, the order from most to least stable is <1>, <2>.